Entry from Alexandria: a crystal of HfCdSe2 relaxed with PBEsol (SCAN).

Results
Total magnetization: 0.000 μB per formula unit
Calculated total energy: -34.269 eV/atom
Space group: R-3m, No. 166
Volume: 102 Å³ per cell
ΔE_f (raw): -958 meV per atom

abc: 9.302 9.302 9.302
angles: 22.29 22.29 22.29
Element x y z (fractional)
Hf (0.000, 0.000, 0.000)
Cd (0.500, 0.500, 0.500)
Se (0.393, 0.393, 0.393)
Se (0.607, 0.607, 0.607)

***

Entry from Alexandria: a crystal of Sr3HfCd relaxed with PBEsol (SCAN).

Results
Total magnetization: 3.259 μB per formula unit
Calculated total energy: -31.246 eV/atom
Space group: Pm-3m, No. 221
Calculated formation energy: 0.737 eV/atom
Volume: 219 Å³ per cell

abc: 6.023 6.023 6.023
angles: 90.00 90.00 90.00
Element x y z (fractional)
Sr (0.000, 0.000, 0.500)
Sr (0.000, 0.500, 0.000)
Sr (0.500, 0.000, 0.000)
Hf (0.500, 0.500, 0.500)
Cd (0.000, 0.000, 0.000)